[1]
Al4Ga2Ag after structural relaxation. Source: the Alexandria database, functional GGA-PBE.

Calculated values
The energy above the lowest structure with this stoichiometry comes out at 0 meV per atom. The total energy is -23.3 eV per formula unit. The calculation puts the density at 4.66 g/cm³. For the magnetization, the calculation gives 0.00 μB per formula unit. The energy relative to the elements is 0.0879 eV per atom.

a = 6.551 Å, b = 5.238 Å, c = 7.860 Å
α = 90.00°, β = 110.08°, γ = 90.00°
Positions (direct):
Al: 0.593 0.498 0.253
Al: 0.070 0.750 0.815
Al: 0.930 0.250 0.185
Al: 0.593 0.002 0.253
Al: 0.979 0.250 0.563
Al: 0.407 0.998 0.747
Al: 0.407 0.502 0.747
Al: 0.021 0.750 0.437
Ga: 0.762 0.750 0.021
Ga: 0.238 0.250 0.979
Ga: 0.337 0.250 0.420
Ga: 0.663 0.750 0.580
Ag: 0.206 0.750 0.180
Ag: 0.794 0.250 0.820



[2]
Sb3PPt after structural relaxation. Source: the Alexandria database, functional GGA-PBE.

Calculated values
The energy above the lowest structure with this stoichiometry comes out at 0 meV per atom. The total energy is -20.3 eV per formula unit. The calculation puts the density at 6.87 g/cm³. For the magnetization, the calculation gives 0.00 μB per formula unit. Its formation energy from raw total energies is 341 kJ/mol of formula units.

a = 5.229 Å, b = 5.229 Å, c = 5.229 Å
α = 90.00°, β = 90.00°, γ = 90.00°
Positions (direct):
Sb: 0.000 0.500 0.000
Sb: 0.000 0.000 0.500
Sb: 0.500 0.000 0.000
Pt: 0.000 0.000 0.000
P: 0.500 0.500 0.500



[3]
Sc2MnRe after structural relaxation. Source: the Alexandria database, functional GGA-PBE.

Calculated values
The total energy is -33.6 eV per formula unit. The calculation puts the density at 7.80 g/cm³. For the magnetization, the calculation gives 2.92 μB per formula unit. The energy relative to the elements is 0.1701 eV per atom.

a = 4.210 Å, b = 2.891 Å, c = 6.035 Å
α = 73.68°, β = 90.00°, γ = 90.00°
Site moments in Bohr magnetons follow the coordinates.
Positions (direct):
Mn: 0.500 0.250 0.250  3.08
Re: 0.500 0.750 0.750  0.00
Sc: 0.000 0.948 0.993  -0.11
Sc: 0.000 0.552 0.507  -0.11



[4]
Sc2BiP after structural relaxation. Source: the Alexandria database, functional GGA-PBE.

Calculated values
The total energy is -26.2 eV per formula unit. The calculation puts the density at 6.06 g/cm³. For the magnetization, the calculation gives 0.00 μB per formula unit. The energy relative to the elements is -1.0560 eV per atom.

a = 3.874 Å, b = 3.877 Å, c = 7.296 Å
α = 105.41°, β = 90.00°, γ = 119.97°
Positions (direct):
Sc: 0.265 0.030 0.296
Sc: 0.735 0.970 0.704
Bi: 0.500 0.500 0.000
P: 0.000 0.500 0.500



[5]
Li2TaNbO6 after structural relaxation. Source: the Alexandria database, functional GGA-PBE.

Calculated values
The total energy is -80.8 eV per formula unit. The calculation puts the density at 4.93 g/cm³. For the magnetization, the calculation gives 0.00 μB per formula unit. Its formation energy from raw total energies is -2440 kJ/mol of formula units.

a = 4.126 Å, b = 5.597 Å, c = 5.597 Å
α = 90.00°, β = 90.00°, γ = 90.00°
Positions (direct):
Li: 0.909 0.500 0.000
Li: 0.909 0.000 0.500
Ta: 0.652 0.500 0.500
Nb: 0.645 0.000 0.000
O: 0.729 0.251 0.251
O: 0.729 0.251 0.749
O: 0.208 0.500 0.500
O: 0.207 0.000 0.000
O: 0.729 0.749 0.749
O: 0.729 0.749 0.251



[6]
CsCrPCl2 after structural relaxation. Source: the Alexandria database, functional GGA-PBE.

Calculated values
The total energy is -23.3 eV per formula unit. The calculation puts the density at 3.68 g/cm³. For the magnetization, the calculation gives 2.00 μB per formula unit. Its formation energy from raw total energies is -359 kJ/mol of formula units.

a = 5.281 Å, b = 5.281 Å, c = 4.637 Å
α = 90.00°, β = 90.00°, γ = 90.00°
Site moments in Bohr magnetons follow the coordinates.
Positions (direct):
Cs: 0.500 0.500 0.500  -0.02
Cr: 0.000 0.000 0.000  3.06
P: 0.000 0.000 0.500  -0.55
Cl: 0.000 0.500 0.000  -0.05
Cl: 0.500 0.000 0.000  -0.05



[7]
ScTcPbW2 after structural relaxation. Source: the Alexandria database, functional GGA-PBE.

Calculated values
The total energy is -35.6 eV per formula unit. The calculation puts the density at 10.83 g/cm³. For the magnetization, the calculation gives 0.57 μB per formula unit. The energy relative to the elements is 2.1347 eV per atom.

a = 4.839 Å, b = 4.701 Å, c = 4.839 Å
α = 90.00°, β = 90.00°, γ = 90.00°
Site moments in Bohr magnetons follow the coordinates.
Positions (direct):
Pb: 0.500 0.500 0.500  0.01
Sc: 0.000 0.000 0.000  -0.03
Tc: 0.000 0.500 0.000  1.15
W: 0.000 0.000 0.500  -0.21
W: 0.500 0.000 0.000  -0.32



[8]
Pr2Nd6YMg after structural relaxation. Source: the Alexandria database, functional GGA-PBE.

Calculated values
The total energy is -45.2 eV per formula unit. The calculation puts the density at 6.11 g/cm³. For the magnetization, the calculation gives 0.00 μB per formula unit. The energy relative to the elements is 0.1037 eV per atom.

a = 9.344 Å, b = 9.147 Å, c = 9.147 Å
α = 118.51°, β = 92.17°, γ = 92.17°
Positions (direct):
Pr: 0.452 0.786 0.676
Pr: 0.048 0.324 0.214
Pr: 0.548 0.214 0.324
Pr: 0.952 0.676 0.786
Nd: 0.053 0.141 0.783
Nd: 0.447 0.217 0.859
Nd: 0.947 0.859 0.217
Nd: 0.553 0.783 0.141
Nd: 0.294 0.005 0.428
Nd: 0.206 0.572 0.995
Nd: 0.706 0.995 0.572
Nd: 0.794 0.428 0.005
Nd: 0.103 0.728 0.500
Nd: 0.397 0.500 0.272
Nd: 0.897 0.272 0.500
Nd: 0.603 0.500 0.728
Y: 0.250 0.977 0.023
Y: 0.750 0.023 0.977
Mg: 0.250 0.421 0.579
Mg: 0.750 0.579 0.421